DFT (PBE-GGA) results for a relaxed GaSn2Bi2Pt7 crystal.

Cell lengths 5.626, 5.622, 16.413 Å; angles 90.00, 99.79, 90.00 degrees
Space group C2/m (No. 12)
Unique sites:
Ga (0.000, 0.000, 0.000) [2 per cell]
Sn (0.117, 0.500, 0.235) [4 per cell]
Bi (0.213, 0.000, 0.426) [4 per cell]
Pt (0.000, 0.500, 0.000) [2 per cell]
Pt (0.189, 0.250, 0.878) [8 per cell]
Pt (0.199, 0.500, 0.398) [4 per cell]

Output
For the formation enthalpy at 0 K, the calculation gives -0.343 eV/atom. For the raw total energy, the calculation gives -5.433 eV per atom.